No. 1
## Ce2NiGe6 (PBE)

Data for a geometry-optimized Ce2NiGe6 structure.

Cell lengths 11.0356, 11.0356, 4.1114 Å; angles 90.00, 90.00, 158.73 degrees
Each line ends with the local moment (μB).
Fractional coordinates of all 9 atoms:
Ce: 0.8879 0.1121 0.5000  0.46
Ge: 0.1170 0.8830 0.0000  0.00
Ni: 0.4450 0.5550 0.0000  -0.01
Ge: 0.3372 0.6628 0.0000  0.00
Ce: 0.2213 0.7787 0.5000  0.41
Ge: 0.0013 0.9987 0.0000  0.00
Ge: 0.6166 0.3834 0.5000  -0.01
Ge: 0.5011 0.4989 0.5000  0.00
Ge: 0.7655 0.2345 0.0000  0.00

Results
E_form = -0.517 eV per atom
Mass density = 7084 kg/m3
DFT total energy = -5.556 eV/atom
Size of the total moment = 0.94 μB per cell

=====

No. 2
## Ce2Ni2Ge3 (PBE)

Data for a geometry-optimized Ce2Ni2Ge3 structure.

Cell lengths 4.2885, 6.7065, 9.2742 Å; angles 90.00, 103.37, 90.00 degrees
Each line ends with the local moment (μB).
Fractional coordinates of all 14 atoms:
Ni: 0.6971 0.5547 0.3943  -0.01
Ce: 0.8386 0.7500 0.6773  0.05
Ni: 0.3029 0.0547 0.6057  -0.01
Ni: 0.3029 0.4453 0.6057  -0.01
Ce: 0.0512 0.7500 0.1023  0.39
Ge: 0.5668 0.4404 0.1336  0.00
Ge: 0.2192 0.7500 0.4385  0.00
Ge: 0.4332 0.9404 0.8664  0.00
Ni: 0.6971 0.9453 0.3943  -0.01
Ge: 0.7808 0.2500 0.5615  0.00
Ge: 0.4332 0.5596 0.8664  0.00
Ge: 0.5668 0.0596 0.1336  0.00
Ce: 0.1614 0.2500 0.3227  0.05
Ce: 0.9488 0.2500 0.8977  0.39

Results
E_form = -0.676 eV per atom
Mass density = 7877 kg/m3
Polymorph energy (0 for the lowest one) = 0.000 eV per atom
DFT total energy = -6.002 eV/atom
Size of the total moment = 0.97 μB per cell

=====

No. 3
## CeNi4Ge4 (PBE)

Data for a geometry-optimized CeNi4Ge4 structure.

Cell lengths 4.5853, 8.0908, 8.0908 Å; angles 90.00, 90.00, 90.00 degrees
Each line ends with the local moment (μB).
Fractional coordinates of all 18 atoms:
Ge: 0.0000 0.6120 0.8692  0.01
Ge: 0.0000 0.3880 0.1308  0.01
Ge: 0.0000 0.8692 0.3880  0.01
Ge: 0.5000 0.8880 0.6308  0.01
Ni: 0.5000 0.6778 0.8228  0.00
Ni: 0.5000 0.3222 0.1772  0.00
Ni: 0.0000 0.3228 0.8222  0.00
Ge: 0.5000 0.1120 0.3692  0.01
Ni: 0.5000 0.1772 0.6778  0.00
Ge: 0.0000 0.1308 0.6120  0.01
Ce: 0.5000 0.5000 0.5000  0.91
Ni: 0.0000 0.8222 0.6772  0.00
Ge: 0.5000 0.3692 0.8880  0.01
Ni: 0.5000 0.8228 0.3222  0.00
Ni: 0.0000 0.6772 0.1778  0.00
Ni: 0.0000 0.1778 0.3228  0.00
Ce: 0.0000 0.0000 0.0000  0.91
Ge: 0.5000 0.6308 0.1120  0.01

Results
E_form = -0.320 eV per atom
Mass density = 7363 kg/m3
DFT total energy = -5.601 eV/atom
Size of the total moment = 2.28 μB per cell

=====

No. 4
## Ce3NiGe (PBE)

Data for a geometry-optimized Ce3NiGe structure.

Cell lengths 3.9732, 7.8152, 8.1069 Å; angles 92.00, 90.00, 104.73 degrees
Each line ends with the local moment (μB).
Fractional coordinates of all 10 atoms:
Ge: 0.4115 0.8562 0.2965  -0.02
Ni: 0.2273 0.4884 0.6372  -0.05
Ce: 0.2688 0.5706 0.0099  0.62
Ce: 0.0623 0.1581 0.3747  0.63
Ce: 0.6182 0.2700 0.7425  0.52
Ce: 0.7750 0.5834 0.4116  0.61
Ni: 0.8172 0.6660 0.7837  -0.05
Ce: 0.4260 0.8844 0.6792  0.52
Ce: 0.9813 0.9958 0.0471  0.63
Ge: 0.6321 0.2976 0.1252  -0.02

Results
E_form = -0.404 eV per atom
Mass density = 7531 kg/m3
DFT total energy = -6.044 eV/atom
Size of the total moment = 4.54 μB per cell

=====

No. 5
## CeNi7Ge2 (PBE)

Data for a geometry-optimized CeNi7Ge2 structure.

Cell lengths 4.0680, 6.4526, 6.6989 Å; angles 118.79, 90.00, 90.00 degrees
Fractional coordinates of all 10 atoms:
Ni: 0.5000 0.0790 0.7760
Ce: 0.0000 0.0000 0.0000
Ge: 0.5000 0.2817 0.5633
Ni: 0.5000 0.3030 0.2240
Ni: 0.0000 0.3936 0.7872
Ni: 0.5000 0.5000 0.0000
Ge: 0.5000 0.7183 0.4367
Ni: 0.0000 0.6064 0.2128
Ni: 0.5000 0.9210 0.2240
Ni: 0.5000 0.6970 0.7760

Results
E_form = -0.077 eV per atom
Mass density = 7502 kg/m3
DFT total energy = -5.641 eV/atom
Size of the total moment = 0.00 μB per cell

=====

No. 6
## Ce2NiGe2 (PBE)

Data for a geometry-optimized Ce2NiGe2 structure.

Cell lengths 4.1750, 5.7685, 9.4936 Å; angles 87.39, 77.30, 68.78 degrees
Each line ends with the local moment (μB).
Fractional coordinates of all 10 atoms:
Ge: 0.9660 0.6634 0.4046  -0.01
Ge: 0.0340 0.3366 0.5954  -0.01
Ni: 0.4840 0.7434 0.2887  -0.04
Ge: 0.3904 0.0890 0.1302  -0.01
Ce: 0.1380 0.6514 0.0727  0.18
Ce: 0.8620 0.3486 0.9273  0.18
Ge: 0.6096 0.9110 0.8698  -0.01
Ce: 0.2860 0.7880 0.6401  0.38
Ni: 0.5160 0.2566 0.7113  -0.04
Ce: 0.7140 0.2120 0.3599  0.38

Results
E_form = -0.716 eV per atom
Mass density = 7739 kg/m3
DFT total energy = -6.092 eV/atom
Size of the total moment = 1.15 μB per cell

=====

No. 7
## Ce4Ni2Ge5 (PBE)

Data for a geometry-optimized Ce4Ni2Ge5 structure.

Cell lengths 4.0909, 7.0175, 8.2006 Å; angles 89.41, 90.00, 90.00 degrees
Each line ends with the local moment (μB).
Fractional coordinates of all 11 atoms:
Ni: 0.0000 0.9180 0.3725  -0.03
Ce: 0.5000 0.2429 0.3864  0.29
Ge: 0.0000 0.5000 0.0000  0.00
Ce: 0.5000 0.7733 0.1390  0.18
Ni: 0.0000 0.0820 0.6275  -0.03
Ge: 0.0000 0.1106 0.1257  -0.01
Ge: 0.0000 0.8894 0.8743  -0.01
Ce: 0.5000 0.7571 0.6136  0.29
Ge: 0.0000 0.4265 0.6458  -0.01
Ge: 0.0000 0.5735 0.3542  -0.01
Ce: 0.5000 0.2267 0.8610  0.18

Results
E_form = -0.631 eV per atom
Mass density = 7343 kg/m3
DFT total energy = -5.939 eV/atom
Size of the total moment = 1.06 μB per cell

=====

No. 8
## Ce7Ni2Ge2 (PBE)

Data for a geometry-optimized Ce7Ni2Ge2 structure.

Cell lengths 6.6409, 6.5028, 6.6409 Å; angles 90.00, 106.69, 90.00 degrees
Each line ends with the local moment (μB).
Fractional coordinates of all 11 atoms:
Ce: 0.5003 0.7162 0.9998  0.40
Ni: 0.7143 0.9999 0.2857  -0.04
Ge: 0.1577 0.5000 0.1577  -0.01
Ce: 0.0000 0.0000 0.0000  0.80
Ce: 0.5002 0.7152 0.4998  0.29
Ni: 0.2857 0.0001 0.7143  -0.04
Ge: 0.8423 0.5000 0.8423  -0.01
Ce: 0.4997 0.2838 0.0002  0.40
Ce: 0.4998 0.2848 0.5002  0.29
Ce: 0.0002 0.7162 0.4997  0.40
Ce: 0.9998 0.2838 0.5003  0.40

Results
E_form = -0.242 eV per atom
Mass density = 7517 kg/m3
DFT total energy = -5.909 eV/atom
Size of the total moment = 3.38 μB per cell